The following is a PBE calculation of a geometry-optimized NiBi2CCl structure, from Alexandria.

Unit cell a=5.494 b=3.581 c=5.494 alpha=90.00 beta=90.00 gamma=90.00
Element x y z (fractional)
Ni (0.500, 0.500, 0.500)
C (0.000, 0.500, 0.000)
Bi (0.000, 0.000, 0.500)
Bi (0.500, 0.000, 0.000)
Cl (0.000, 0.000, 0.000)

D(E_F)   3.465 states/eV/cell
Formation energy (no corrections)   1.74 eV/atom
Theoretical density   8.05 g cm⁻³
Electronic total energy   -15.9 eV for the cell shown

***

The following is a PBE calculation of a geometry-optimized Tb6Hg2Os structure, from Alexandria.

Unit cell a=5.107 b=7.125 c=8.593 alpha=114.49 beta=107.27 gamma=90.00
Element x y z (fractional)
Tb (0.156, 0.398, 0.312)
Tb (0.844, 0.086, 0.688)
Tb (0.844, 0.602, 0.688)
Tb (0.500, 0.230, 0.000)
Tb (0.156, 0.914, 0.312)
Tb (0.500, 0.770, 0.000)
Hg (0.666, 0.666, 0.333)
Hg (0.334, 0.334, 0.667)
Os (0.000, 0.000, 0.000)

D(E_F)   11.020 states/eV/cell
ΔE_f   -0.162 eV per atom
Energy above the lowest structure with this stoichiometry   0.068 eV/atom
Theoretical density   9.54 g cm⁻³
Electronic total energy   -41.1 eV for the cell shown

***

The following is a PBE calculation of a geometry-optimized CrRh2Br structure, from Alexandria.

Unit cell a=3.012 b=4.564 c=4.564 alpha=90.00 beta=90.00 gamma=90.00
Element x y z (fractional)
Br (0.500, 0.500, 0.000)
Cr (0.500, 0.000, 0.500)
Rh (0.000, 0.000, 0.000)
Rh (0.000, 0.500, 0.500)

D(E_F)   5.309 states/eV/cell
Formation energy (no corrections)   0.54 eV/atom
Energy above the lowest structure with this stoichiometry   0.265 eV/atom
Theoretical density   8.94 g cm⁻³
Electronic total energy   -23.8 eV for the cell shown

***

The following is a PBE calculation of a geometry-optimized Zr2Si7Rh12 structure, from Alexandria.

Unit cell a=3.806 b=9.674 c=9.674 alpha=120.00 beta=90.00 gamma=90.00
Element x y z (fractional)
Zr (0.251, 0.333, 0.667)
Zr (0.749, 0.667, 0.333)
Si (0.500, 0.000, 0.000)
Si (0.249, 0.886, 0.291)
Si (0.249, 0.405, 0.114)
Si (0.249, 0.709, 0.595)
Si (0.751, 0.114, 0.709)
Si (0.751, 0.595, 0.886)
Si (0.751, 0.291, 0.405)
Rh (0.248, 0.621, 0.068)
Rh (0.248, 0.447, 0.379)
Rh (0.248, 0.932, 0.553)
Rh (0.752, 0.379, 0.932)
Rh (0.752, 0.553, 0.621)
Rh (0.752, 0.068, 0.447)
Rh (0.254, 0.121, 0.265)
Rh (0.254, 0.144, 0.879)
Rh (0.254, 0.735, 0.856)
Rh (0.746, 0.879, 0.735)
Rh (0.746, 0.856, 0.121)
Rh (0.746, 0.265, 0.144)

D(E_F)   6.115 states/eV/cell
Formation energy (no corrections)   -0.90 eV/atom
Theoretical density   8.69 g cm⁻³
Electronic total energy   -162.2 eV for the cell shown

***

The following is a PBE calculation of a geometry-optimized RuPt2Rh5 structure, from Alexandria.

Unit cell a=3.863 b=5.474 c=10.974 alpha=90.00 beta=90.00 gamma=90.00
Element x y z (fractional)
Ru (0.000, 0.000, 0.500)
Ru (0.000, 0.500, 0.000)
Pt (0.500, 0.250, 0.624)
Pt (0.500, 0.750, 0.376)
Pt (0.500, 0.250, 0.124)
Pt (0.500, 0.750, 0.876)
Rh (0.000, 0.000, 0.000)
Rh (0.000, 0.500, 0.500)
Rh (0.000, 0.500, 0.754)
Rh (0.000, 0.500, 0.246)
Rh (0.000, 0.000, 0.254)
Rh (0.000, 0.000, 0.746)
Rh (0.500, 0.252, 0.876)
Rh (0.500, 0.748, 0.124)
Rh (0.500, 0.248, 0.376)
Rh (0.500, 0.752, 0.624)

D(E_F)   24.901 states/eV/cell
ΔE_f   0.000 eV per atom
Energy above the lowest structure with this stoichiometry   0.024 eV/atom
Theoretical density   14.39 g cm⁻³
Electronic total energy   -116.2 eV for the cell shown

***

The following is a PBE calculation of a geometry-optimized CeInTe2 structure, from Alexandria.

Unit cell a=3.958 b=3.958 c=7.815 alpha=90.00 beta=90.00 gamma=90.00
Element x y z (fractional)
Te (0.000, 0.000, 0.774)
Te (0.000, 0.000, 0.226)
Ce (0.500, 0.500, 0.000)
In (0.500, 0.500, 0.500)

D(E_F)   5.784 states/eV/cell
Formation energy (no corrections)   -0.85 eV/atom
Theoretical density   6.92 g cm⁻³
Electronic total energy   -18.3 eV for the cell shown

***

The following is a PBE calculation of a geometry-optimized LiAl2Se structure, from Alexandria.

Unit cell a=3.849 b=3.845 c=5.034 alpha=90.00 beta=90.00 gamma=90.00
Element x y z (fractional)
Al (0.000, 0.000, 0.000)
Al (0.500, 0.500, 0.000)
Li (0.500, 0.000, 0.500)
Se (0.000, 0.500, 0.500)

D(E_F)   1.117 states/eV/cell
Formation energy (no corrections)   -0.24 eV/atom
Theoretical density   3.12 g cm⁻³
Electronic total energy   -13.8 eV for the cell shown

***

The following is a PBE calculation of a geometry-optimized NaZr3B structure, from Alexandria.

Unit cell a=4.758 b=4.758 c=4.758 alpha=90.00 beta=90.00 gamma=90.00
Element x y z (fractional)
Na (0.500, 0.500, 0.500)
B (0.000, 0.000, 0.000)
Zr (0.000, 0.500, 0.000)
Zr (0.000, 0.000, 0.500)
Zr (0.500, 0.000, 0.000)

D(E_F)   7.814 states/eV/cell
ΔE_f   0.232 eV per atom
Energy above the lowest structure with this stoichiometry   0.000 eV/atom
Theoretical density   4.74 g cm⁻³
Electronic total energy   -32.5 eV for the cell shown

***

The following is a PBE calculation of a geometry-optimized TlCl3 structure, from Alexandria.

Unit cell a=7.880 b=7.880 c=7.880 alpha=38.30 beta=38.30 gamma=38.30
Element x y z (fractional)
Tl (0.500, 0.500, 0.500)
Cl (0.000, 0.000, 0.000)
Cl (0.895, 0.895, 0.895)
Cl (0.105, 0.105, 0.105)

D(E_F)   0.000 states/eV/cell
Formation energy (no corrections)   -0.51 eV/atom
Theoretical density   3.06 g cm⁻³
Electronic total energy   -9.9 eV for the cell shown

***

The following is a PBE calculation of a geometry-optimized AcPr2Ho structure, from Alexandria.

Unit cell a=3.751 b=3.751 c=12.345 alpha=81.26 beta=81.26 gamma=60.00
Element x y z (fractional)
Ac (0.500, 0.500, 0.501)
Pr (0.079, 0.079, 0.762)
Pr (0.254, 0.254, 0.237)
Ho (0.667, 0.667, 0.000)

D(E_F)   5.586 states/eV/cell
ΔE_f   0.044 eV per atom
Energy above the lowest structure with this stoichiometry   0.021 eV/atom
Theoretical density   7.55 g cm⁻³
Electronic total energy   -18.1 eV for the cell shown

***

The following is a PBE calculation of a geometry-optimized Cr3InSe structure, from Alexandria.

Unit cell a=5.064 b=5.064 c=5.064 alpha=90.00 beta=90.00 gamma=90.00
Element x y z (fractional)
Cr (0.000, 0.500, 0.000)
Cr (0.000, 0.000, 0.500)
Cr (0.500, 0.000, 0.000)
Se (0.500, 0.500, 0.500)
In (0.000, 0.000, 0.000)

D(E_F)   6.041 states/eV/cell
Formation energy (no corrections)   1.35 eV/atom
Energy above the lowest structure with this stoichiometry   0.511 eV/atom
Theoretical density   4.47 g cm⁻³
Electronic total energy   -28.3 eV for the cell shown

***

The following is a PBE calculation of a geometry-optimized Pm8Ho6Tm structure, from Alexandria.

Unit cell a=9.788 b=9.788 c=8.216 alpha=53.44 beta=53.44 gamma=60.00
Element x y z (fractional)
Pm (0.355, 0.227, 0.487)
Pm (0.773, 0.068, 0.513)
Pm (0.068, 0.645, 0.513)
Pm (0.587, 0.587, 0.239)
Pm (0.413, 0.413, 0.761)
Pm (0.932, 0.355, 0.487)
Pm (0.227, 0.932, 0.487)
Pm (0.645, 0.773, 0.513)
Ho (0.390, 0.927, 0.968)
Ho (0.073, 0.285, 0.032)
Ho (0.285, 0.610, 0.032)
Ho (0.715, 0.390, 0.968)
Ho (0.927, 0.715, 0.968)
Ho (0.610, 0.073, 0.032)
Tm (0.000, 0.000, 0.000)

D(E_F)   22.094 states/eV/cell
ΔE_f   0.177 eV per atom
Energy above the lowest structure with this stoichiometry   0.003 eV/atom
Theoretical density   7.78 g cm⁻³
Electronic total energy   -67.3 eV for the cell shown

***

The following is a PBE calculation of a geometry-optimized CsPb2AuO2 structure, from Alexandria.

Unit cell a=6.355 b=7.690 c=8.366 alpha=109.96 beta=90.00 gamma=90.00
Element x y z (fractional)
Cs (0.250, 0.188, 0.959)
Cs (0.750, 0.812, 0.041)
Pb (0.250, 0.114, 0.421)
Pb (0.250, 0.655, 0.633)
Pb (0.750, 0.886, 0.579)
Pb (0.750, 0.345, 0.367)
Au (0.750, 0.293, 0.693)
Au (0.250, 0.707, 0.307)
O (0.500, 0.150, 0.255)
O (0.000, 0.150, 0.255)
O (0.000, 0.850, 0.745)
O (0.500, 0.850, 0.745)

D(E_F)   0.000 states/eV/cell
Formation energy (no corrections)   -0.80 eV/atom
Theoretical density   6.71 g cm⁻³
Electronic total energy   -52.6 eV for the cell shown

***

The following is a PBE calculation of a geometry-optimized Sc3InHg structure, from Alexandria.

Unit cell a=5.335 b=5.335 c=5.335 alpha=90.00 beta=90.00 gamma=90.00
Element x y z (fractional)
Sc (0.000, 0.500, 0.000)
Sc (0.000, 0.000, 0.500)
Sc (0.500, 0.000, 0.000)
Hg (0.500, 0.500, 0.500)
In (0.000, 0.000, 0.000)

D(E_F)   5.865 states/eV/cell
ΔE_f   0.421 eV per atom
Energy above the lowest structure with this stoichiometry   0.759 eV/atom
Theoretical density   4.92 g cm⁻³
Electronic total energy   -19.9 eV for the cell shown

***

The following is a PBE calculation of a geometry-optimized Rb3Hg2I6 structure, from Alexandria.

Unit cell a=5.979 b=5.979 c=15.411 alpha=101.19 beta=101.19 gamma=90.00
Element x y z (fractional)
Rb (0.000, 0.000, 0.000)
Rb (0.826, 0.826, 0.652)
Rb (0.174, 0.174, 0.348)
Hg (0.400, 0.400, 0.799)
Hg (0.600, 0.600, 0.201)
I (0.082, 0.582, 0.163)
I (0.582, 0.082, 0.163)
I (0.918, 0.418, 0.837)
I (0.418, 0.918, 0.837)
I (0.701, 0.701, 0.403)
I (0.299, 0.299, 0.597)

D(E_F)   0.889 states/eV/cell
Formation energy (no corrections)   -0.91 eV/atom
Theoretical density   4.45 g cm⁻³
Electronic total energy   -22.8 eV for the cell shown

***

The following is a PBE calculation of a geometry-optimized Li5HgBi3 structure, from Alexandria.

Unit cell a=7.688 b=6.174 c=9.074 alpha=90.00 beta=90.00 gamma=90.00
Element x y z (fractional)
Li (0.811, 0.250, 0.750)
Li (0.811, 0.750, 0.250)
Li (0.811, 0.250, 0.250)
Li (0.811, 0.750, 0.750)
Li (0.189, 0.250, 0.750)
Li (0.189, 0.750, 0.750)
Li (0.189, 0.250, 0.250)
Li (0.189, 0.750, 0.250)
Li (0.500, 0.000, 0.000)
Li (0.500, 0.500, 0.500)
Hg (0.000, 0.500, 0.000)
Hg (0.000, 0.000, 0.500)
Bi (0.000, 0.000, 0.000)
Bi (0.000, 0.500, 0.500)
Bi (0.500, 0.500, 0.821)
Bi (0.500, 0.000, 0.679)
Bi (0.500, 0.000, 0.321)
Bi (0.500, 0.500, 0.179)

D(E_F)   5.134 states/eV/cell
ΔE_f   -0.329 eV per atom
Theoretical density   6.65 g cm⁻³
Electronic total energy   -49.0 eV for the cell shown

***

The following is a PBE calculation of a geometry-optimized TlTc2Ru structure, from Alexandria.

Unit cell a=4.530 b=4.530 c=4.530 alpha=60.00 beta=60.00 gamma=60.00
Element x y z (fractional)
Ru (0.000, 0.000, 0.000)
Tl (0.500, 0.500, 0.500)
Tc (0.250, 0.250, 0.250)
Tc (0.750, 0.750, 0.750)

D(E_F)   4.792 states/eV/cell
ΔE_f   0.757 eV per atom
Energy above the lowest structure with this stoichiometry   0.358 eV/atom
Theoretical density   12.67 g cm⁻³
Electronic total energy   -29.3 eV for the cell shown

***

The following is a PBE calculation of a geometry-optimized TlRe2W structure, from Alexandria.

Unit cell a=5.095 b=5.095 c=5.095 alpha=134.25 beta=134.25 gamma=66.70
Element x y z (fractional)
Re (0.000, 0.000, 0.000)
Re (0.250, 0.750, 0.500)
Tl (0.500, 0.500, 0.000)
W (0.750, 0.250, 0.500)

D(E_F)   4.678 states/eV/cell
ΔE_f   0.881 eV per atom
Energy above the lowest structure with this stoichiometry   0.315 eV/atom
Theoretical density   18.91 g cm⁻³
Electronic total energy   -36.7 eV for the cell shown

***

The following is a PBE calculation of a geometry-optimized NaCaAgAu structure, from Alexandria.

Unit cell a=5.095 b=5.095 c=5.095 alpha=60.00 beta=60.00 gamma=60.00
Element x y z (fractional)
Na (0.000, 0.000, 0.000)
Ca (0.500, 0.500, 0.500)
Au (0.750, 0.750, 0.750)
Ag (0.250, 0.250, 0.250)

D(E_F)   1.505 states/eV/cell
ΔE_f   -0.373 eV per atom
Energy above the lowest structure with this stoichiometry   0.000 eV/atom
Theoretical density   6.53 g cm⁻³
Electronic total energy   -10.9 eV for the cell shown

***

The following is a PBE calculation of a geometry-optimized Li2HgRu structure, from Alexandria.

Unit cell a=2.782 b=2.782 c=9.195 alpha=90.00 beta=90.00 gamma=114.30
Element x y z (fractional)
Hg (0.500, 0.500, 0.750)
Li (0.000, 0.000, 0.021)
Li (0.000, 0.000, 0.479)
Ru (0.500, 0.500, 0.250)

D(E_F)   2.520 states/eV/cell
ΔE_f   0.137 eV per atom
Theoretical density   8.08 g cm⁻³
Electronic total energy   -12.9 eV for the cell shown